No. 1
# GGA-PBE GdHfGe, optimized geometry
# Polymorph energy (0 for the lowest one)   0.0000 eV per atom
# Energy   -6.671 eV per atom
data_GdHfGe
_symmetry_space_group_name_H-M 'F -4 3 m'
_symmetry_Int_Tables_number 216
_symmetry_space_group_name_Hall 'F -4 2 3'
_cell_length_a 6.6469
_cell_length_b 6.6469
_cell_length_c 6.6469
_cell_angle_alpha 90.00
_cell_angle_beta 90.00
_cell_angle_gamma 90.00
loop_
_atom_site_label
_atom_site_type_symbol
_atom_site_fract_x
_atom_site_fract_y
_atom_site_fract_z
Gd1 Gd 0.0000 0.0000 0.0000
Hf1 Hf 0.0000 0.0000 0.5000
Ge1 Ge 0.2500 0.2500 0.2500



No. 2
# GGA-PBE CuGeOsPt, optimized geometry
# Polymorph energy (0 for the lowest one)   0.0000 eV per atom
# Energy   -6.197 eV per atom
data_CuGeOsPt
_symmetry_space_group_name_H-M 'F -4 3 m'
_symmetry_Int_Tables_number 216
_symmetry_space_group_name_Hall 'F -4 2 3'
_cell_length_a 6.1495
_cell_length_b 6.1495
_cell_length_c 6.1495
_cell_angle_alpha 90.00
_cell_angle_beta 90.00
_cell_angle_gamma 90.00
loop_
_atom_site_label
_atom_site_type_symbol
_atom_site_fract_x
_atom_site_fract_y
_atom_site_fract_z
Cu1 Cu 0.0000 0.0000 0.0000
Ge1 Ge 0.2500 0.2500 0.7500
Os1 Os 0.0000 0.0000 0.5000
Pt1 Pt 0.2500 0.2500 0.2500



No. 3
# GGA-PBE BaHoAuSe2S, optimized geometry
# Energy   -5.008 eV per atom
data_BaHoAuSe2S
_symmetry_space_group_name_H-M 'C m c m'
_symmetry_Int_Tables_number 63
_symmetry_space_group_name_Hall '-C 2c 2'
_cell_length_a 4.2105
_cell_length_b 14.1383
_cell_length_c 10.5012
_cell_angle_alpha 90.00
_cell_angle_beta 90.00
_cell_angle_gamma 90.00
loop_
_atom_site_label
_atom_site_type_symbol
_atom_site_fract_x
_atom_site_fract_y
_atom_site_fract_z
Ba1 Ba 0.0000 0.2429 0.2500
Ho1 Ho 0.0000 0.5000 0.0000
Au1 Au 0.0000 0.0314 0.7500
Se1 Se 0.0000 0.1391 0.5476
S1 S 0.0000 0.4266 0.7500



No. 4
# GGA-PBE SnPd7, optimized geometry
# Energy   -5.045 eV per atom
data_SnPd7
_symmetry_space_group_name_H-M 'P 4/n m m'
_symmetry_Int_Tables_number 129
_cell_length_a 2.8645
_cell_length_b 2.8645
_cell_length_c 42.2932
_cell_angle_alpha 90.00
_cell_angle_beta 90.00
_cell_angle_gamma 90.00
loop_
_symmetry_equiv_pos_as_xyz
'x,y,z'
'-x,-y,-z'
'-y+1/2,x,z'
'y+1/2,-x,-z'
'-x+1/2,-y+1/2,z'
'x+1/2,y+1/2,-z'
'y,-x+1/2,z'
'-y,x+1/2,-z'
'x+1/2,-y,-z'
'-x+1/2,y,z'
'-y,-x,-z'
'y,x,z'
'-x,y+1/2,-z'
'x,-y+1/2,z'
'y+1/2,x+1/2,-z'
'-y+1/2,-x+1/2,z'
loop_
_atom_site_label
_atom_site_type_symbol
_atom_site_fract_x
_atom_site_fract_y
_atom_site_fract_z
Sn1 Sn 0.2500 0.2500 0.1632
Pd1 Pd 0.2500 0.2500 0.2565
Pd2 Pd 0.2500 0.2500 0.3458
Pd3 Pd 0.2500 0.2500 0.4339
Pd4 Pd 0.2500 0.2500 0.5220
Pd5 Pd 0.2500 0.2500 0.6101
Pd6 Pd 0.2500 0.2500 0.6984
Pd7 Pd 0.2500 0.2500 0.7894



No. 5
# GGA-PBE Nd3Zr3Te2Os, optimized geometry
# Polymorph energy (0 for the lowest one)   0.3530 eV per atom
# Energy   -6.709 eV per atom
data_Nd3Zr3Te2Os
_symmetry_space_group_name_H-M 'P -6 2 m'
_symmetry_Int_Tables_number 189
_symmetry_space_group_name_Hall 'P -6 -2'
_cell_length_a 8.3484
_cell_length_b 8.3484
_cell_length_c 3.7739
_cell_angle_alpha 90.00
_cell_angle_beta 90.00
_cell_angle_gamma 120.00
loop_
_atom_site_label
_atom_site_type_symbol
_atom_site_fract_x
_atom_site_fract_y
_atom_site_fract_z
Nd1 Nd 0.0000 0.7492 0.0000
Zr1 Zr 0.0000 0.4065 0.5000
Te1 Te 0.3333 0.6667 0.0000
Os1 Os 0.0000 0.0000 0.5000



No. 6
# GGA-PBE Bi5Ir3Au, optimized geometry
# Energy   -5.369 eV per atom
data_Bi5Ir3Au
_symmetry_space_group_name_H-M 'P 6/m m m'
_symmetry_Int_Tables_number 191
_symmetry_space_group_name_Hall '-P 6 2'
_cell_length_a 5.7391
_cell_length_b 5.7391
_cell_length_c 8.0649
_cell_angle_alpha 90.00
_cell_angle_beta 90.00
_cell_angle_gamma 120.00
loop_
_atom_site_label
_atom_site_type_symbol
_atom_site_fract_x
_atom_site_fract_y
_atom_site_fract_z
Bi1 Bi 0.0000 0.0000 0.0000
Bi2 Bi 0.3333 0.6667 0.2853
Ir1 Ir 0.0000 0.5000 0.0000
Au1 Au 0.0000 0.0000 0.5000



No. 7
# GGA-PBE Sr2InOsN6, optimized geometry
# Energy   -6.312 eV per atom
data_Sr2InOsN6
_symmetry_space_group_name_H-M 'P -1'
_symmetry_Int_Tables_number 2
_cell_length_a 5.7272
_cell_length_b 5.7545
_cell_length_c 5.8128
_cell_angle_alpha 60.44
_cell_angle_beta 61.19
_cell_angle_gamma 60.47
loop_
_symmetry_equiv_pos_as_xyz
'x,y,z'
'-x,-y,-z'
loop_
_atom_site_label
_atom_site_type_symbol
_atom_site_fract_x
_atom_site_fract_y
_atom_site_fract_z
Sr1 Sr 0.2485 0.2472 0.2562
In1 In 0.0000 0.0000 0.0000
Os1 Os 0.5000 0.5000 0.5000
N1 N 0.2234 0.3075 0.6968
N2 N 0.2416 0.7726 0.6976
N3 N 0.3332 0.7396 0.2041



No. 8
# GGA-PBE La2SiPt8, optimized geometry
# Energy   -6.748 eV per atom
data_La2SiPt8
_symmetry_space_group_name_H-M 'A m m 2'
_symmetry_Int_Tables_number 38
_cell_length_a 4.3086
_cell_length_b 17.8091
_cell_length_c 5.4814
_cell_angle_alpha 90.00
_cell_angle_beta 90.00
_cell_angle_gamma 90.00
loop_
_symmetry_equiv_pos_as_xyz
'x,y,z'
'-x,-y,z'
'-x,y,z'
'x,-y,z'
'x,y+1/2,z+1/2'
'-x,-y+1/2,z+1/2'
'-x,y+1/2,z+1/2'
'x,-y+1/2,z+1/2'
loop_
_atom_site_label
_atom_site_type_symbol
_atom_site_fract_x
_atom_site_fract_y
_atom_site_fract_z
La1 La 0.0000 0.1233 0.0000
Si1 Si 0.5000 0.0000 0.7296
Pt1 Pt 0.0000 0.0000 0.5100
Pt2 Pt 0.0000 0.2011 0.4977
Pt3 Pt 0.5000 0.0000 0.1464
Pt4 Pt 0.5000 0.1112 0.5037
Pt5 Pt 0.5000 0.2490 0.2444



- The highest energy belongs to which entry?
  BaHoAuSe2S